No. 1
SmHfZnCo2: optimized geometry, PBE-GGA.

Cell: 5.1607 5.1607 5.1607 Å, 133.81 117.21 81.40°
Closest atoms and distances in Å follow each position.
Atoms (fractional coordinates):
Hf (0.2081, 0.2081, 0.0000)  6 Co 2.79-2.82, 2 Zn 3.00
Zn (0.4911, 0.9911, 0.5000)  4 Co 2.54
Co (0.7902, 0.5054, 0.2848)  1 Co 2.31, 2 Zn 2.54
Co (0.2206, 0.5054, 0.7152)  1 Co 2.31, 2 Zn 2.54
Sm (0.7900, 0.7900, 0.0000)  6 Co 2.70-2.88

Properties
- ΔE_f (eV per atom) = -0.2313
- ρ (g/cm3) = 9.99
- total moment (μB per formula unit) = 0.02



No. 2
LiNiAgPb: optimized geometry, PBE-GGA.

Cell: 4.5197 4.5197 4.5197 Å, 60.00 60.00 60.00°
Closest atoms and distances in Å follow each position.
Atoms (fractional coordinates):
Li (0.2500, 0.2500, 0.2500)  4 Pb 2.77, 4 Ag 2.77
Ag (0.5000, 0.5000, 0.5000)  4 Ni 2.77, 4 Li 2.77
Ni (0.7500, 0.7500, 0.7500)  4 Ag 2.77, 4 Pb 2.77
Pb (0.0000, 0.0000, 0.0000)  4 Li 2.77, 4 Ni 2.77

Properties
- ρ (g/cm3) = 9.68
- energy (eV/atom) = -3.579
- total moment (μB per formula unit) = 0.00



No. 3
Tm4ZnSnC2: optimized geometry, PBE-GGA.

Cell: 3.5530 3.5530 15.2731 Å, 90.00 90.00 120.00°
Closest atoms and distances in Å follow each position.
Atoms (fractional coordinates):
C (0.0000, 0.0000, 0.7448)  6 Tm 2.43-2.44
Tm (0.6667, 0.3333, 0.3419)  3 C 2.44
Zn (0.3333, 0.6667, 0.5000)  6 Tm 3.17
Tm (0.6667, 0.3333, 0.6581)  3 C 2.44
Sn (0.6667, 0.3333, 0.0000)  6 Tm 3.30, 6 Sn 3.55
Tm (0.3333, 0.6667, 0.1694)  3 C 2.43
C (0.0000, 0.0000, 0.2552)  6 Tm 2.43-2.44
Tm (0.3333, 0.6667, 0.8306)  3 C 2.43

Properties
- ρ (g/cm3) = 8.79
- energy (eV/atom) = -5.633
- total moment (μB per formula unit) = 1.11



No. 4
SmYIr: optimized geometry, PBE-GGA.

Cell: 4.7361 4.7361 4.7361 Å, 60.00 60.00 60.00°
Closest atoms and distances in Å follow each position.
Atoms (fractional coordinates):
Ir (0.2500, 0.2500, 0.2500)  4 Y 2.90
Y (0.0000, 0.0000, 0.0000)  4 Ir 2.90, 4 Sm 2.90
Sm (0.7500, 0.7500, 0.7500)  4 Y 2.90

Properties
- ΔE_f (eV per atom) = 0.1945
- ρ (g/cm3) = 9.54
- total moment (μB per formula unit) = 0.00



No. 5
SmY2Mg3AgHg2: optimized geometry, PBE-GGA.

Cell: 4.1968 7.8181 7.8181 Å, 120.16 90.00 90.00°
Closest atoms and distances in Å follow each position.
Atoms (fractional coordinates):
Hg (0.5000, 0.6693, 0.3321)  3 Mg 2.98-3.03, 4 Y 3.15, 2 Sm 3.18
Sm (0.0000, 0.4104, 0.4104)  4 Hg 3.18, 1 Ag 3.22, 6 Mg 3.42-3.50
Ag (0.0000, 0.9976, 0.9976)  6 Mg 2.82-2.84
Mg (0.5000, 0.2440, 0.9990)  2 Ag 2.84, 2 Hg 2.98-3.02
Y (0.0000, 0.0002, 0.5913)  4 Hg 3.15, 1 Ag 3.19, 6 Mg 3.43-3.49
Y (0.0000, 0.5913, 0.0002)  4 Hg 3.15, 1 Ag 3.19, 6 Mg 3.43-3.49
Hg (0.5000, 0.3321, 0.6693)  3 Mg 2.98-3.03, 4 Y 3.15, 2 Sm 3.18
Mg (0.5000, 0.9990, 0.2440)  2 Ag 2.84, 2 Hg 2.98-3.02
Mg (0.5000, 0.7560, 0.7560)  2 Ag 2.82, 2 Hg 3.03

Properties
- ρ (g/cm3) = 6.81
- energy (eV/atom) = -3.240
- total moment (μB per formula unit) = 0.01



No. 6
Pr7FeI12: optimized geometry, PBE-GGA.

Cell: 10.0592 10.0592 10.0592 Å, 107.10 107.10 107.10°
Closest atoms and distances in Å follow each position.
Atoms (fractional coordinates):
Pr (0.0976, 0.2981, 0.0262)  1 Fe 2.77
I (0.0745, 0.2271, 0.6825)  3 Pr 3.21-3.53
I (0.2271, 0.6825, 0.0745)  3 Pr 3.21-3.53
I (0.3175, 0.9255, 0.7729)  3 Pr 3.21-3.53
I (0.8422, 0.5323, 0.6123)  3 Pr 3.17-3.31
I (0.5323, 0.6123, 0.8422)  3 Pr 3.17-3.31
Pr (0.9024, 0.7019, 0.9738)  1 Fe 2.77
I (0.6825, 0.0745, 0.2271)  3 Pr 3.21-3.53
Pr (0.9738, 0.9024, 0.7019)  1 Fe 2.77
Pr (0.7019, 0.9738, 0.9024)  1 Fe 2.77
Fe (0.0000, 0.0000, 0.0000)  6 Pr 2.77
I (0.9255, 0.7729, 0.3175)  3 Pr 3.21-3.53
I (0.6123, 0.8422, 0.5323)  3 Pr 3.17-3.31
Pr (0.5000, 0.5000, 0.5000)  6 I 3.17
I (0.7729, 0.3175, 0.9255)  3 Pr 3.21-3.53
Pr (0.2981, 0.0262, 0.0976)  1 Fe 2.77
I (0.3877, 0.1578, 0.4677)  3 Pr 3.17-3.31
I (0.1578, 0.4677, 0.3877)  3 Pr 3.17-3.31
Pr (0.0262, 0.0976, 0.2981)  1 Fe 2.77
I (0.4677, 0.3877, 0.1578)  3 Pr 3.17-3.31

Properties
- ρ (g/cm3) = 5.04
- energy (eV/atom) = -4.225
- total moment (μB per formula unit) = 1.00



No. 7
ScInFeAu: optimized geometry, PBE-GGA.

Cell: 4.6972 4.6972 4.6972 Å, 60.00 60.00 60.00°
Closest atoms and distances in Å follow each position.
Atoms (fractional coordinates):
Au (0.5000, 0.5000, 0.5000)  4 Sc 2.88, 4 Fe 2.88
Fe (0.7500, 0.7500, 0.7500)  4 In 2.88, 4 Au 2.88
Sc (0.2500, 0.2500, 0.2500)  4 Au 2.88, 4 In 2.88
In (0.0000, 0.0000, 0.0000)  4 Sc 2.88, 4 Fe 2.88

Properties
- ρ (g/cm3) = 9.35
- energy (eV/atom) = -5.326
- total moment (μB per formula unit) = 2.53



No. 8
BeTe2Ir: optimized geometry, PBE-GGA.

Cell: 4.7907 4.7907 4.7907 Å, 60.00 60.00 60.00°
Closest atoms and distances in Å follow each position.
Atoms (fractional coordinates):
Ir (0.5000, 0.5000, 0.5000)  4 Be 2.93, 4 Te 2.93
Be (0.7500, 0.7500, 0.7500)  4 Ir 2.93, 4 Te 2.93
Te (0.2500, 0.2500, 0.2500)  4 Ir 2.93, 4 Te 2.93
Te (0.0000, 0.0000, 0.0000)  4 Be 2.93, 4 Te 2.93

Properties
- ρ (g/cm3) = 9.75
- energy (eV/atom) = -3.835
- total moment (μB per formula unit) = 0.00



The highest total moment belongs to which entry? ScInFeAu